{
  "formula": "NiAuO3",
  "functional": "PBE with a Hubbard U",
  "state": "optimized geometry",
  "sg": "Pm-3m",
  "dft_energy_ev_per_atom": -3.562,
  "total_magnetization_mub_per_atom": 0.4034,
  "lattice_angstrom": [[-2.432, 0.267, 3.146], [-1.032, -3.820, -0.474], [2.984, -1.104, 2.401]],
  "species": ["O", "Au", "O", "O", "Ni"],
  "frac_coords": [[0.500, 0.000, 0.000], [0.000, 0.000, 0.000], [0.000, 0.000, 0.500], [0.000, 0.500, 0.000], [0.500, 0.500, 0.500]]
}